(1)
# Na5I2ClO

A relaxed structure of Na5I2ClO (PBE-GGA, Alexandria).

Geometry as POSCAR:
```
Na5I2ClO
1.0
-2.277 3.511 7.447
2.277 -3.511 7.447
2.277 3.511 -7.447
Na I Cl O
5 2 1 1
Cartesian
0.000 0.000 0.000 Na
2.277 1.628 -1.629 Na
2.277 1.628 1.629 Na
0.000 1.883 5.817 Na
0.000 1.883 9.076 Na
0.000 0.000 3.268 I
0.000 0.000 11.625 I
0.000 3.511 0.000 Cl
2.277 0.000 0.000 O
```

***

(2)
# Na6I2ClO

A relaxed structure of Na6I2ClO (PBE-GGA, Alexandria).

Geometry as POSCAR:
```
Na6I2ClO
1.0
0.000 5.164 5.164
5.164 0.000 5.164
5.164 5.164 0.000
Na I Cl O
6 2 1 1
Cartesian
5.164 5.164 2.314 Na
5.164 2.314 5.164 Na
8.014 5.164 5.164 Na
2.314 5.164 5.164 Na
5.164 8.014 5.164 Na
5.164 5.164 8.014 Na
2.582 2.582 2.582 I
7.746 7.746 7.746 I
5.164 5.164 5.164 Cl
0.000 0.000 0.000 O
```

***

(3)
# Na12I4ClO3

A relaxed structure of Na12I4ClO3 (PBE-GGA, Alexandria).

Geometry as POSCAR:
```
Na12I4ClO3
1.0
-4.963 4.963 4.963
4.963 -4.963 4.963
4.963 4.963 -4.963
Na I Cl O
12 4 1 3
Cartesian
2.766 0.000 0.000 Na
7.159 0.000 0.000 Na
4.963 2.481 0.000 Na
4.963 0.000 2.481 Na
0.000 2.766 0.000 Na
0.000 0.000 2.766 Na
2.481 4.963 0.000 Na
2.481 0.000 4.963 Na
0.000 7.159 0.000 Na
0.000 0.000 7.159 Na
0.000 4.963 2.481 Na
0.000 2.481 4.963 Na
2.481 2.481 -2.481 I
2.481 -2.481 2.481 I
-2.481 2.481 2.481 I
2.481 2.481 2.481 I
0.000 0.000 0.000 Cl
4.963 0.000 0.000 O
0.000 4.963 0.000 O
0.000 0.000 4.963 O
```

***

(4)
# Na9I3ClO2

A relaxed structure of Na9I3ClO2 (PBE-GGA, Alexandria).

Geometry as POSCAR:
```
Na9I3ClO2
1.0
7.069 0.000 0.000
-3.535 6.122 0.000
0.000 0.000 8.765
Na I Cl O
9 3 1 2
Cartesian
-1.767 3.061 0.000 Na
0.000 2.236 2.656 Na
-1.598 5.004 2.656 Na
1.937 1.118 6.109 Na
3.535 0.000 0.000 Na
1.767 3.061 0.000 Na
1.598 5.004 2.656 Na
5.133 1.118 6.109 Na
3.535 3.886 6.109 Na
0.000 0.000 0.000 I
0.000 4.081 5.722 I
3.535 2.041 3.043 I
0.000 0.000 4.382 Cl
0.000 4.081 1.304 O
3.535 2.041 7.461 O
```

***

(5)
NaP2ICl, relaxed, DFT PBE-GGA; distance to the lowest polymorph of the same formula = 1.25 eV per formula unit
1.0
5.268 0.000 0.000
0.000 5.268 0.000
0.000 0.000 4.814
Na P I Cl
1 2 1 1
Cartesian
0.000 0.000 0.000 Na
0.000 2.634 0.000 P
2.634 0.000 0.000 P
2.634 2.634 2.407 I
0.000 0.000 2.407 Cl

***

(6)
NaP2ICl, relaxed, DFT PBE-GGA; distance to the lowest polymorph of the same formula = 0.00 eV per formula unit
1.0
5.092 0.000 0.000
0.000 5.092 0.000
0.000 0.000 6.959
Na P I Cl
1 2 1 1
Cartesian
0.000 0.000 0.000 Na
0.000 2.546 3.479 P
2.546 0.000 3.479 P
2.546 2.546 3.479 I
2.546 2.546 0.000 Cl

***

(7)
# Na3PaI2Cl6

A relaxed structure of Na3PaI2Cl6 (PBE-GGA, Alexandria).

Geometry as POSCAR:
```
Na3PaI2Cl6
1.0
7.673 -4.324 0.000
7.673 4.324 0.000
-0.086 0.000 6.333
Na Pa I Cl
3 1 2 6
Cartesian
0.000 0.000 0.000 Na
3.793 2.162 3.166 Na
3.793 -2.162 3.166 Na
7.630 0.000 3.166 Pa
2.696 0.000 1.348 I
12.564 0.000 4.984 I
6.600 1.827 1.689 Cl
8.660 1.827 4.644 Cl
5.461 0.000 4.549 Cl
9.798 0.000 1.784 Cl
6.600 -1.827 1.689 Cl
8.660 -1.827 4.644 Cl
```

***

(8)
# NaPb2ICl4

A relaxed structure of NaPb2ICl4 (PBE-GGA, Alexandria).

Geometry as POSCAR:
```
NaPb2ICl4
1.0
6.797 -2.063 0.000
6.797 2.063 0.000
-4.400 0.000 8.956
Na Pb I Cl
1 2 1 4
Cartesian
0.000 0.000 0.000 Na
-0.759 0.000 6.756 Pb
9.953 0.000 2.199 Pb
4.597 0.000 4.478 I
1.221 0.000 2.494 Cl
4.838 0.000 0.540 Cl
4.356 0.000 8.416 Cl
7.973 0.000 6.462 Cl
```

***

no.,formation energy without anion corrections (meV per atom)
1,-1317
2,-1156
3,-1196
4,-1186
5,873
6,622
7,-1620
8,-1196